Record 1
# As2OsSe (PBE-GGA, optimized geometry)
data_As2OsSe
_cell_length_a 2.947
_cell_length_b 2.947
_cell_length_c 8.989
_cell_angle_alpha 90.00
_cell_angle_beta 90.00
_cell_angle_gamma 90.00
_space_group_name_H-M_alt 'P 4/m m m'
_space_group_IT_number 123
_space_group_name_Hall '-P 4 2'
loop_
_atom_site_label
_atom_site_fract_x
_atom_site_fract_y
_atom_site_fract_z
_atom_site_occupancy
As1 0.000 0.000 0.181 1
Os1 0.500 0.500 0.000 1
Se1 0.500 0.500 0.500 1
# crystal system = tetragonal
# Fermi-level density of states = 2.46 states/eV/f.u.
# relative energy among the computed polymorphs = 0.097 eV/atom
# total magnetic moment = 0.0 μB/f.u.
# total energy = -5.809 eV per atom

=====

Record 2
# ReWS3 (PBE-GGA, optimized geometry)
data_ReWS3
_cell_length_a 4.603
_cell_length_b 4.603
_cell_length_c 4.603
_cell_angle_alpha 90.00
_cell_angle_beta 90.00
_cell_angle_gamma 90.00
_space_group_name_H-M_alt 'P m -3 m'
_space_group_IT_number 221
_space_group_name_Hall '-P 4 2 3'
loop_
_atom_site_label
_atom_site_fract_x
_atom_site_fract_y
_atom_site_fract_z
_atom_site_occupancy
Re1 0.000 0.000 0.000 1
W1 0.500 0.500 0.500 1
S1 0.000 0.000 0.500 1
# crystal system = cubic
# Fermi-level density of states = 5.11 states/eV/f.u.
# relative energy among the computed polymorphs = 0.136 eV/atom
# total magnetic moment = 4.0 μB/f.u.
# total energy = -6.329 eV per atom

=====

Record 3
# KYAs2 (PBE-GGA, optimized geometry)
data_KYAs2
_cell_length_a 7.297
_cell_length_b 7.297
_cell_length_c 7.297
_cell_angle_alpha 90.00
_cell_angle_beta 90.00
_cell_angle_gamma 90.00
_space_group_name_H-M_alt 'F -4 3 m'
_space_group_IT_number 216
_space_group_name_Hall 'F -4 2 3'
loop_
_atom_site_label
_atom_site_fract_x
_atom_site_fract_y
_atom_site_fract_z
_atom_site_occupancy
K1 0.000 0.000 0.000 1
Y1 0.250 0.250 0.250 1
As1 0.000 0.000 0.500 1
As2 0.250 0.250 0.750 1
# crystal system = cubic
# Fermi-level density of states = 3.28 states/eV/f.u.
# relative energy among the computed polymorphs = 0.821 eV/atom
# formation energy from the elements = 0.01 eV/atom
# total magnetic moment = 0.0 μB/f.u.
# total energy = -4.207 eV per atom